1.
A geometry-optimized In2SnHg2 structure, computed with PBE.

The space group is C2/c (No. 15) and the conventional cell measures 12.298, 9.655 and 4.678 Å, with angles of 90.00, 93.78 and 90.00 degrees. Symmetry generates all atoms from In at (0.201, 0.121, 0.323), Sn at (0.000, 0.114, 0.750) and Hg at (0.097, 0.385, 0.052).

The crystal system is monoclinic. Its formation energy from the elements is 32.7 meV/atom. The calculation puts the magnetization at 0.000 μB/cell.

=====

2.
A geometry-optimized SbPbSI2 structure, computed with PBE.

The space group is P4/mmm (No. 123) and the conventional cell measures 5.616, 5.616 and 5.319 Å, with angles of 90.00, 90.00 and 90.00 degrees. Symmetry generates all atoms from Sb at (0.000, 0.000, 0.000), Pb at (0.500, 0.500, 0.000), S at (0.000, 0.000, 0.500) and I at (0.000, 0.500, 0.500).

The crystal system is tetragonal. The formation energy without anion corrections is 0.3137 eV/atom. The calculation puts the magnetization at 0.000 μB/cell.

=====

3.
A geometry-optimized TaBTePd2 structure, computed with PBE.

The space group is P4/mmm (No. 123) and the conventional cell measures 4.919, 4.919 and 5.287 Å, with angles of 90.00, 90.00 and 90.00 degrees. Symmetry generates all atoms from Ta at (0.000, 0.000, 0.000), B at (0.500, 0.500, 0.500), Te at (0.000, 0.000, 0.500) and Pd at (0.000, 0.500, 0.000).

The crystal system is tetragonal. The formation energy without anion corrections is 1.5064 eV/atom. The calculation puts the magnetization at 0.000 μB/cell.

=====

4.
A geometry-optimized La2TbDySe5 structure, computed with PBE.

The space group is P4/mmm (No. 123) and the conventional cell measures 5.174, 5.174 and 10.765 Å, with angles of 90.00, 90.00 and 90.00 degrees. Symmetry generates all atoms from La at (0.000, 0.000, 0.191), Tb at (0.500, 0.500, 0.000), Dy at (0.500, 0.500, 0.500), Se at (0.000, 0.000, 0.500), Se at (0.000, 0.500, 0.000) and Se at (0.500, 0.500, 0.256).

The crystal system is tetragonal. The formation energy without anion corrections is -1.3959 eV/atom. The calculation puts the magnetization at 0.748 μB/cell.

=====

5.
A geometry-optimized KRb2TlPt structure, computed with PBE.

The space group is P4/mmm (No. 123) and the conventional cell measures 6.739, 6.739 and 5.450 Å, with angles of 90.00, 90.00 and 90.00 degrees. Symmetry generates all atoms from K at (0.000, 0.000, 0.000), Rb at (0.000, 0.500, 0.000), Tl at (0.500, 0.500, 0.500) and Pt at (0.000, 0.000, 0.500).

The crystal system is tetragonal. Its formation energy from the elements is 486.8 meV/atom. The calculation puts the magnetization at 0.000 μB/cell.

=====

6.
A geometry-optimized Pr2Si2Tc2B structure, computed with PBE.

The space group is C2/m (No. 12) and the conventional cell measures 11.197, 4.129 and 7.258 Å, with angles of 90.00, 127.38 and 90.00 degrees. Symmetry generates all atoms from Pr at (0.074, 0.000, 0.310), Si at (0.147, 0.500, 0.699), Tc at (0.211, 0.500, 0.090) and B at (0.000, 0.500, 0.000).

The crystal system is monoclinic. The formation energy without anion corrections is -0.5749 eV/atom. The calculation puts the magnetization at 0.000 μB/cell.

=====

7.
A geometry-optimized Pu2HfNbP4 structure, computed with PBE.

The space group is P2/m (No. 10) and the conventional cell measures 6.541, 3.789 and 6.610 Å, with angles of 90.00, 109.23 and 90.00 degrees. Symmetry generates all atoms from Pu at (0.000, 0.000, 0.000), Pu at (0.000, 0.500, 0.500), Hf at (0.500, 0.000, 0.500), Nb at (0.500, 0.500, 0.000), P at (0.269, 0.000, 0.759) and P at (0.269, 0.500, 0.252).

The crystal system is monoclinic. Its formation energy from the elements is -1144.8 meV/atom. The calculation puts the magnetization at 0.200 μB/cell.